No. 1
## TmSc2Rh3 (PBE-GGA)

Data for a relaxed structure of TmSc2Rh3.

Values from the calculation:
- Total magnetic moment: 0.00 μB/f.u.
- E_form: -993.1 meV/atom
- D(E_F): 2.67 states/eV/f.u.

Unit cell a=3.2744 b=3.2744 c=9.8616 alpha=90.00 beta=90.00 gamma=90.00
Closest atoms and distances in Å follow each position.
Space group P4/mmm (No. 123)
One atom of each set of equivalent atoms:
Tm (0.0000, 0.0000, 0.0000) [1 per cell]  8 Rh 2.90
Sc (0.0000, 0.0000, 0.3380) [2 per cell]  8 Rh 2.81
Rh (0.5000, 0.5000, 0.1771) [2 per cell]  4 Sc 2.81, 4 Tm 2.90
Rh (0.5000, 0.5000, 0.5000) [1 per cell]  8 Sc 2.81

***

No. 2
## CsInO3 (PBE-GGA)

Data for a relaxed structure of CsInO3.

Values from the calculation:
- Total magnetic moment: 2.00 μB/f.u.
- D(E_F): 4.89 states/eV/f.u.
- Formation energy from raw total energies: -0.79 eV/atom

Unit cell a=4.4143 b=4.4143 c=4.4143 alpha=90.00 beta=90.00 gamma=90.00
Closest atoms and distances in Å follow each position.
Space group Pm-3m (No. 221)
One atom of each set of equivalent atoms:
Cs (0.0000, 0.0000, 0.0000) [1 per cell]  12 O 3.12
In (0.5000, 0.5000, 0.5000) [1 per cell]  6 O 2.21
O (0.0000, 0.5000, 0.5000) [3 per cell]  2 In 2.21

***

No. 3
## HPd3Cl (PBE-GGA)

Data for a relaxed structure of HPd3Cl.

Values from the calculation:
- Total magnetic moment: 0.30 μB/f.u.
- ΔE to the lowest computed polymorph: 0 meV per atom
- D(E_F): 5.92 states/eV/f.u.

Unit cell a=4.0892 b=4.0892 c=4.0892 alpha=90.00 beta=90.00 gamma=90.00
Closest atoms and distances in Å follow each position.
Space group Pm-3m (No. 221)
One atom of each set of equivalent atoms:
H (0.0000, 0.0000, 0.0000) [1 per cell]  6 Pd 2.04
Pd (0.0000, 0.0000, 0.5000) [3 per cell]  2 H 2.04
Cl (0.5000, 0.5000, 0.5000) [1 per cell]  12 Pd 2.89

***

No. 4
## Er4AgPd (PBE-GGA)

Data for a relaxed structure of Er4AgPd.

Values from the calculation:
- Total magnetic moment: 0.00 μB/f.u.
- ΔE to the lowest computed polymorph: 0 meV per atom
- E_form: -449.6 meV/atom
- D(E_F): 5.79 states/eV/f.u.

Unit cell a=13.4266 b=13.4266 c=13.4266 alpha=90.00 beta=90.00 gamma=90.00
Closest atoms and distances in Å follow each position.
Space group F-43m (No. 216)
One atom of each set of equivalent atoms:
Er (0.0000, 0.0000, 0.1841) [24 per cell]  2 Ag 3.16, 2 Pd 3.46, 6 Er 3.46-3.49
Er (0.0620, 0.2500, 0.7500) [24 per cell]  2 Pd 2.84
Er (0.1087, 0.1087, 0.3913) [16 per cell]  3 Pd 2.85
Ag (0.1657, 0.1657, 0.1657) [16 per cell]  9 Er 3.16-3.45, 3 Ag 3.20
Pd (0.1034, 0.1034, 0.6034) [16 per cell]  6 Er 2.84-2.85

***

No. 5
## KTe4W (PBE-GGA)

Data for a relaxed structure of KTe4W.

Values from the calculation:
- Total magnetic moment: 0.00 μB/f.u.
- ΔE to the lowest computed polymorph: 0 meV per atom
- D(E_F): 3.34 states/eV/f.u.
- Formation energy from raw total energies: -0.19 eV/atom

Unit cell a=9.7997 b=14.7610 c=6.2947 alpha=90.00 beta=110.91 gamma=90.00
Closest atoms and distances in Å follow each position.
Space group C2/c (No. 15)
One atom of each set of equivalent atoms:
K (0.0000, 0.1345, 0.2500) [4 per cell]  8 Te 3.69-3.97
Te (0.0980, 0.3531, 0.5506) [8 per cell]  2 W 2.82-2.83
Te (0.2361, 0.4384, 0.1328) [8 per cell]  2 W 2.82-2.83
W (0.0000, 0.4985, 0.7500) [4 per cell]  8 Te 2.82-2.83, 2 W 3.15

***

No. 6
## LaScCu2 (PBE-GGA)

Data for a relaxed structure of LaScCu2.

Values from the calculation:
- Total magnetic moment: 0.00 μB/f.u.
- ΔE to the lowest computed polymorph: 488 meV per atom
- E_form: 296.4 meV/atom
- D(E_F): 3.73 states/eV/f.u.

Unit cell a=4.7295 b=4.7295 c=17.8026 alpha=90.00 beta=90.00 gamma=90.00
Closest atoms and distances in Å follow each position.
Space group I-42d (No. 122)
One atom of each set of equivalent atoms:
La (0.0000, 0.0000, 0.0000) [4 per cell]  4 Cu 3.26, 4 Sc 3.34
Sc (0.0000, 0.0000, 0.5000) [4 per cell]  4 Cu 2.54
Cu (0.0636, 0.2500, 0.6250) [8 per cell]  2 Cu 2.44, 2 Sc 2.54

***

No. 7
## UPdPt (PBE-GGA)

Data for a relaxed structure of UPdPt.

Values from the calculation:
- Total magnetic moment: 1.76 μB/f.u.
- ΔE to the lowest computed polymorph: 59 meV per atom
- E_form: -430.7 meV/atom
- D(E_F): 6.28 states/eV/f.u.

Unit cell a=6.1368 b=5.0913 c=8.0507 alpha=90.00 beta=105.33 gamma=90.00
Closest atoms and distances in Å follow each position.
Space group C2/m (No. 12)
One atom of each set of equivalent atoms:
U (0.0123, 0.0000, 0.2563) [4 per cell]  4 Pd 2.70-3.00, 4 Pt 2.73-2.91
Pd (0.1737, 0.5000, 0.9243) [4 per cell]  4 U 2.70-3.00, 3 Pd 2.72-2.87, 1 Pt 2.91
Pt (0.1626, 0.5000, 0.4068) [4 per cell]  4 U 2.73-2.91, 3 Pt 2.80-3.01, 1 Pd 2.91

***

No. 8
## CdMoAs2 (PBE-GGA)

Data for a relaxed structure of CdMoAs2.

Values from the calculation:
- Total magnetic moment: 0.00 μB/f.u.
- E_form: 158.5 meV/atom
- D(E_F): 2.10 states/eV/f.u.

Unit cell a=8.9196 b=3.1668 c=5.4387 alpha=90.00 beta=100.00 gamma=90.00
Closest atoms and distances in Å follow each position.
Space group C2/m (No. 12)
One atom of each set of equivalent atoms:
Cd (0.0000, 0.0000, 0.0000) [2 per cell]  2 As 2.80
Mo (0.0000, 0.5000, 0.5000) [2 per cell]  6 As 2.62-2.85
As (0.2227, 0.0000, 0.6943) [4 per cell]  3 Mo 2.62-2.85, 2 As 2.75, 1 Cd 2.80

***

No. 9
## CdSi2Se (PBE-GGA)

Data for a relaxed structure of CdSi2Se.

Values from the calculation:
- Total magnetic moment: 0.00 μB/f.u.
- ΔE to the lowest computed polymorph: 23 meV per atom
- D(E_F): 0.97 states/eV/f.u.
- Formation energy from raw total energies: 0.05 eV/atom

Unit cell a=3.5650 b=3.5650 c=6.7934 alpha=90.00 beta=90.00 gamma=90.00
Closest atoms and distances in Å follow each position.
Space group P4mm (No. 99)
One atom of each set of equivalent atoms:
Cd (0.0000, 0.0000, 0.0000) [1 per cell]  1 Si 2.58, 4 Se 2.83
Si (0.0000, 0.0000, 0.6208) [1 per cell]  1 Cd 2.58, 4 Si 2.59
Si (0.5000, 0.5000, 0.5340) [1 per cell]  1 Se 2.34, 4 Si 2.59
Se (0.5000, 0.5000, 0.1894) [1 per cell]  1 Si 2.34

***

No. 10
## Nd2EuSe4 (PBE-GGA)

Data for a relaxed structure of Nd2EuSe4.

Values from the calculation:
- Total magnetic moment: 7.00 μB/f.u.
- D(E_F): 3.20 states/eV/f.u.
- Formation energy from raw total energies: -1.94 eV/atom

Unit cell a=9.0068 b=9.0068 c=8.9879 alpha=90.00 beta=90.00 gamma=90.00
Closest atoms and distances in Å follow each position.
Space group I-42d (No. 122)
One atom of each set of equivalent atoms:
Nd (0.1265, 0.2500, 0.1250) [8 per cell]  8 Se 3.00-3.20
Eu (0.0000, 0.0000, 0.5000) [4 per cell]  8 Se 3.05-3.23
Se (0.0756, 0.1743, 0.8044) [16 per cell]  4 Nd 3.00-3.20, 2 Eu 3.05-3.23

***

No. 11
## RbTiSiB2 (PBE-GGA)

Data for a relaxed structure of RbTiSiB2.

Values from the calculation:
- Total magnetic moment: 1.27 μB/f.u.
- D(E_F): 3.58 states/eV/f.u.
- Formation energy from raw total energies: 1.41 eV/atom

Unit cell a=4.2280 b=4.2280 c=4.8497 alpha=90.00 beta=90.00 gamma=90.00
Closest atoms and distances in Å follow each position.
Space group P4/mmm (No. 123)
One atom of each set of equivalent atoms:
Rb (0.0000, 0.0000, 0.0000) [1 per cell]  4 Ti 2.99, 8 B 3.22
Ti (0.5000, 0.5000, 0.0000) [1 per cell]  2 Si 2.42
Si (0.5000, 0.5000, 0.5000) [1 per cell]  4 B 2.11
B (0.0000, 0.5000, 0.5000) [2 per cell]  2 Si 2.11

***

No. 12
## K2SrLiF6 (PBE-GGA)

Data for a relaxed structure of K2SrLiF6.

Values from the calculation:
- Total magnetic moment: 1.12 μB/f.u.
- D(E_F): 16.31 states/eV/f.u.
- Formation energy from raw total energies: -2.78 eV/atom

Unit cell a=6.2349 b=6.2045 c=10.4903 alpha=90.00 beta=124.30 gamma=90.00
Closest atoms and distances in Å follow each position.
Space group P2_1/c (No. 14)
One atom of each set of equivalent atoms:
K (0.2306, 0.0384, 0.2438) [4 per cell]  7 F 2.70-3.01
Sr (0.5000, 0.0000, 0.0000) [2 per cell]  6 F 2.39-2.41
Li (0.0000, 0.0000, 0.5000) [2 per cell]  6 F 2.09-2.11
F (0.1549, 0.2316, 0.9576) [4 per cell]  1 Li 2.09
F (0.2232, 0.7009, 0.9558) [4 per cell]  1 Li 2.11
F (0.3154, 0.0281, 0.7295) [4 per cell]  1 Li 2.09

***

No. 13
## SrSmZn2Au5 (PBE-GGA)

Data for a relaxed structure of SrSmZn2Au5.

Values from the calculation:
- Total magnetic moment: 0.00 μB/f.u.
- E_form: -486.3 meV/atom
- D(E_F): 3.07 states/eV/f.u.

Unit cell a=4.5712 b=4.5712 c=9.2381 alpha=90.00 beta=90.00 gamma=90.00
Closest atoms and distances in Å follow each position.
Space group P4/mmm (No. 123)
One atom of each set of equivalent atoms:
Sr (0.0000, 0.0000, 0.0000) [1 per cell]  12 Au 3.20-3.23
Sm (0.0000, 0.0000, 0.5000) [1 per cell]  8 Au 3.30, 8 Zn 3.45
Zn (0.5000, 0.5000, 0.3695) [2 per cell]  1 Zn 2.41, 4 Au 2.57
Au (0.0000, 0.5000, 0.2421) [4 per cell]  2 Zn 2.57
Au (0.5000, 0.5000, 0.0000) [1 per cell]  8 Au 3.20, 4 Sr 3.23, 2 Zn 3.41

***

No. 14
## Tb3Si (PBE-GGA)

Data for a relaxed structure of Tb3Si.

Values from the calculation:
- Total magnetic moment: 0.00 μB/f.u.
- D(E_F): 4.79 states/eV/f.u.
- Formation energy from raw total energies: -0.30 eV/atom

Unit cell a=3.8745 b=11.0535 c=5.0199 alpha=90.00 beta=90.00 gamma=90.00
Closest atoms and distances in Å follow each position.
Space group Imm2 (No. 44)
One atom of each set of equivalent atoms:
Tb (0.0000, 0.0000, 0.0000) [2 per cell]  4 Si 3.17, 4 Tb 3.38
Tb (0.0000, 0.2048, 0.5006) [4 per cell]  2 Si 2.98, 4 Tb 3.32
Si (0.0000, 0.5000, 0.9995) [2 per cell]  8 Tb 2.98-3.17

***

No. 15
## ZnNiSe2N (PBE-GGA)

Data for a relaxed structure of ZnNiSe2N.

Values from the calculation:
- Total magnetic moment: 0.00 μB/f.u.
- ΔE to the lowest computed polymorph: 0 meV per atom
- D(E_F): 2.89 states/eV/f.u.
- Formation energy from raw total energies: 0.46 eV/atom

Unit cell a=5.0236 b=5.0236 c=3.3815 alpha=90.00 beta=90.00 gamma=90.00
Closest atoms and distances in Å follow each position.
Space group P4/mmm (No. 123)
One atom of each set of equivalent atoms:
Zn (0.0000, 0.0000, 0.0000) [1 per cell]  8 Se 3.03, 2 Zn 3.38
Ni (0.5000, 0.5000, 0.5000) [1 per cell]  2 N 1.69
Se (0.0000, 0.5000, 0.5000) [2 per cell]  2 Ni 2.51
N (0.5000, 0.5000, 0.0000) [1 per cell]  2 Ni 1.69

***

No. 16
## BRu (PBE-GGA)

Data for a relaxed structure of BRu.

Values from the calculation:
- Total magnetic moment: 0.40 μB/f.u.
- E_form: 460.2 meV/atom
- D(E_F): 1.50 states/eV/f.u.

Unit cell a=5.7283 b=5.7283 c=5.7283 alpha=90.00 beta=90.00 gamma=90.00
Closest atoms and distances in Å follow each position.
Space group Pm-3n (No. 223)
One atom of each set of equivalent atoms:
B (0.0000, 0.2500, 0.5000) [6 per cell]  4 Ru 2.03
Ru (0.0000, 0.5000, 0.2500) [6 per cell]  4 B 2.03

***

No. 17
## PuZnGeAu (PBE-GGA)

Data for a relaxed structure of PuZnGeAu.

Values from the calculation:
- Total magnetic moment: 5.39 μB/f.u.
- E_form: -269.8 meV/atom
- D(E_F): 10.71 states/eV/f.u.

Unit cell a=6.8552 b=6.8552 c=6.8552 alpha=90.00 beta=90.00 gamma=90.00
Closest atoms and distances in Å follow each position.
Space group F-43m (No. 216)
One atom of each set of equivalent atoms:
Pu (0.0000, 0.0000, 0.0000) [4 per cell]  4 Ge 2.97, 4 Au 2.97
Zn (0.0000, 0.0000, 0.5000) [4 per cell]  4 Ge 2.97, 4 Au 2.97
Ge (0.2500, 0.2500, 0.2500) [4 per cell]  4 Pu 2.97, 4 Zn 2.97
Au (0.2500, 0.2500, 0.7500) [4 per cell]  4 Pu 2.97, 4 Zn 2.97

***

No. 18
## Li2AcPbBr8 (PBE-GGA)

Data for a relaxed structure of Li2AcPbBr8.

Values from the calculation:
- Total magnetic moment: 0.00 μB/f.u.
- D(E_F): 4.88 states/eV/f.u.
- Formation energy from raw total energies: -1.21 eV/atom

Unit cell a=6.9609 b=6.9609 c=9.1858 alpha=90.00 beta=90.00 gamma=120.00
Closest atoms and distances in Å follow each position.
Space group P-3 (No. 147)
One atom of each set of equivalent atoms:
Li (0.3333, 0.6667, 0.2440) [2 per cell]  4 Br 2.42-2.51
Ac (0.0000, 0.0000, 0.5000) [1 per cell]  6 Br 3.32
Pb (0.0000, 0.0000, 0.0000) [1 per cell]  6 Br 2.92
Br (0.0142, 0.7044, 0.7798) [6 per cell]  1 Li 2.51
Br (0.3333, 0.6667, 0.5071) [2 per cell]  1 Li 2.42

***

No. 19
## TiHgBi2 (PBE-GGA)

Data for a relaxed structure of TiHgBi2.

Values from the calculation:
- Total magnetic moment: 0.00 μB/f.u.
- E_form: 2.1 meV/atom
- D(E_F): 3.37 states/eV/f.u.

Unit cell a=3.3535 b=3.3535 c=36.3877 alpha=90.00 beta=90.00 gamma=120.00
Closest atoms and distances in Å follow each position.
Space group R-3m (No. 166, hexagonal axes)
One atom of each set of equivalent atoms:
Ti (0.0000, 0.0000, 0.0000) [3 per cell]  6 Bi 3.04, 6 Ti 3.35
Hg (0.0000, 0.0000, 0.5000) [3 per cell]  6 Hg 3.35, 2 Bi 3.73
Bi (0.0000, 0.0000, 0.3976) [6 per cell]  3 Ti 3.04, 6 Bi 3.35

***

No. 20
## CaAgH2Ir (PBE-GGA)

Data for a relaxed structure of CaAgH2Ir.

Values from the calculation:
- Total magnetic moment: 1.47 μB/f.u.
- Total DFT energy (no corrections): -16.4 eV per formula unit
- D(E_F): 5.25 states/eV/f.u.

Unit cell a=3.9301 b=3.9301 c=5.7289 alpha=90.00 beta=90.00 gamma=90.00
Closest atoms and distances in Å follow each position.
Space group P4/mmm (No. 123)
One atom of each set of equivalent atoms:
Ca (0.0000, 0.0000, 0.0000) [1 per cell]  4 H 1.97
Ag (0.5000, 0.5000, 0.5000) [1 per cell]  4 Ir 2.78
H (0.0000, 0.5000, 0.0000) [2 per cell]  2 Ca 1.97
Ir (0.0000, 0.0000, 0.5000) [1 per cell]  4 Ag 2.78, 2 Ca 2.86

***

No. 21
## DyThAl2 (PBE-GGA)

Data for a relaxed structure of DyThAl2.

Values from the calculation:
- Total magnetic moment: 0.00 μB/f.u.
- ΔE to the lowest computed polymorph: 0 meV per atom
- E_form: -340.1 meV/atom
- D(E_F): 4.13 states/eV/f.u.

Unit cell a=4.1828 b=6.0107 c=8.3094 alpha=90.00 beta=90.00 gamma=90.00
Closest atoms and distances in Å follow each position.
Space group Pmc2_1 (No. 26)
One atom of each set of equivalent atoms:
Dy (0.0000, 0.1335, 0.0000) [2 per cell]  7 Al 3.15-3.30
Th (0.5000, 0.3656, 0.3574) [2 per cell]  7 Al 3.16-3.30
Al (0.0000, 0.3748, 0.6439) [2 per cell]  2 Al 2.64
Al (0.5000, 0.1239, 0.7139) [2 per cell]  2 Al 2.64

***

No. 22
## Ba2In2Tc (PBE-GGA)

Data for a relaxed structure of Ba2In2Tc.

Values from the calculation:
- Total magnetic moment: 2.10 μB/f.u.
- ΔE to the lowest computed polymorph: 188 meV per atom
- E_form: 712.1 meV/atom
- D(E_F): 5.16 states/eV/f.u.

Unit cell a=8.2978 b=8.2978 c=5.3118 alpha=90.00 beta=90.00 gamma=90.00
Closest atoms and distances in Å follow each position.
Space group P4/mbm (No. 127)
One atom of each set of equivalent atoms:
Ba (0.1613, 0.3387, 0.0000) [4 per cell]  2 Tc 3.11
In (0.1455, 0.6455, 0.5000) [4 per cell]  1 In 3.41, 6 Ba 3.49-3.68
Tc (0.0000, 0.0000, 0.0000) [2 per cell]  4 Ba 3.11

***

No. 23
## MnAl3 (PBE-GGA)

Data for a relaxed structure of MnAl3.

Values from the calculation:
- Total magnetic moment: 1.02 μB/f.u.
- E_form: -201.5 meV/atom
- D(E_F): 0.37 states/eV/f.u.

Unit cell a=6.2506 b=6.2506 c=6.6651 alpha=90.00 beta=90.00 gamma=90.00
Closest atoms and distances in Å follow each position.
Space group P4_2/mnm (No. 136)
One atom of each set of equivalent atoms:
Mn (0.1393, 0.1393, 0.0000) [4 per cell]  8 Al 2.42-2.51, 1 Mn 2.46
Al (0.0000, 0.5000, 0.0000) [4 per cell]  2 Mn 2.42
Al (0.1644, 0.8356, 0.2446) [8 per cell]  3 Mn 2.43-2.51